P | Here is crystalline Li2Te2Au at its relaxed geometry from the Alexandria database. Energies are from PBEsol.

Cell and atoms, written as POSCAR:
```
Li2Te2Au
1.0
3.2083 0.0000 0.0000
0.0000 7.9686 0.0000
0.0000 0.0000 7.9686
Te Li Au
4 4 2
Direct
0.5000 0.1819 0.6819
0.5000 0.3181 0.1819
0.5000 0.6819 0.8181
0.5000 0.8181 0.3181
0.0000 0.3766 0.8766
0.0000 0.1234 0.3766
0.0000 0.8766 0.6234
0.0000 0.6234 0.1234
0.0000 0.0000 0.0000
0.0000 0.5000 0.5000
```

Properties
The mass density is 7.6 Mg/m³. The volume is 101.9 Å³/f.u.

Q | Here is crystalline Li2Te2Au at its relaxed geometry from the Alexandria database. Energies are from PBEsol.

Cell and atoms, written as POSCAR:
```
Li2Te2Au
1.0
-1.1196 -4.0365 -0.0266
3.9990 -1.0681 -6.2273
5.9938 -1.6897 4.1389
Li Te Au
4 4 2
Direct
0.5000 0.8589 0.3589
0.5000 0.3589 0.1411
0.5000 0.6411 0.8589
0.5000 0.1411 0.6411
0.0000 0.1724 0.3276
0.0000 0.8276 0.6724
0.0000 0.6724 0.1724
0.0000 0.3276 0.8276
0.0000 0.0000 0.0000
0.0000 0.5000 0.5000
```

Properties
The mass density is 6.6 Mg/m³. The volume is 117.1 Å³/f.u.

The structure with the most favorable energy is Q; the runner-up is 161 meV per atom above it.

P | Here is crystalline Li2TlAu at its relaxed geometry from the Alexandria database. Energies are from PBEsol.

Cell and atoms, written as POSCAR:
```
Li2TlAu
1.0
3.2302 0.0000 0.0000
0.0000 3.2302 0.0000
0.0000 0.0000 6.4815
Au Li Tl
1 2 1
Direct
0.5000 0.5000 0.5000
0.0000 0.0000 0.7140
0.0000 0.0000 0.2860
0.5000 0.5000 0.0000
```

Properties
The mass density is 10.2 Mg/m³. The volume is 67.6 Å³/f.u.

Q | Here is crystalline Li2TlAu at its relaxed geometry from the Alexandria database. Energies are from PBEsol.

Cell and atoms, written as POSCAR:
```
Li2TlAu
1.0
4.6186 0.0000 0.0000
2.3093 3.9998 0.0000
2.3093 1.3333 3.7711
Li Au Tl
2 1 1
Direct
0.2500 0.2500 0.2500
0.5000 0.5000 0.5000
0.7500 0.7500 0.7500
0.0000 0.0000 0.0000
```

Properties
The mass density is 9.9 Mg/m³. The volume is 69.7 Å³/f.u.

The structure with the most favorable energy is P; the runner-up is 9 meV per atom above it.

P | Here is crystalline Li2TlAu at its relaxed geometry from the Alexandria database. Energies are from PBEsol.

Cell and atoms, written as POSCAR:
```
Li2TlAu
1.0
-3.1195 2.1419 2.4636
2.6283 -3.1723 1.9482
3.1827 1.2376 2.9541
Au Li Tl
1 2 1
Direct
0.5000 0.0000 0.5000
0.7500 0.5000 0.7500
0.2500 0.5000 0.2500
0.0000 0.0000 0.0000
```

Properties
The mass density is 10.4 Mg/m³. The volume is 66.3 Å³/f.u.

Q | Here is crystalline Li2TlAu at its relaxed geometry from the Alexandria database. Energies are from PBEsol.

Cell and atoms, written as POSCAR:
```
Li2TlAu
1.0
4.1854 0.0000 0.0000
0.0000 4.1854 0.0000
-2.0927 -2.0927 3.9473
Au Tl Li
1 1 2
Direct
0.7500 0.2500 0.5000
0.5000 0.5000 0.0000
0.2500 0.7500 0.5000
0.0000 0.0000 0.0000
```

Properties
The mass density is 10.0 Mg/m³. The volume is 69.1 Å³/f.u.

The structure with the most favorable energy is P; the runner-up is 10 meV per atom above it.

P | Here is crystalline LiW2Au at its relaxed geometry from the Alexandria database. Energies are from PBEsol.

Cell and atoms, written as POSCAR:
```
LiW2Au
1.0
-3.7395 -0.4152 -1.4698
2.2245 -3.9842 1.0166
-1.1442 -1.8130 3.4235
Li W Au
1 2 1
Direct
0.7500 0.5000 0.7500
0.2500 0.5000 0.2500
0.0000 0.0000 0.0000
0.5000 0.0000 0.5000
```

Properties
The mass density is 15.7 Mg/m³. The volume is 60.4 Å³/f.u.

Q | Here is crystalline LiW2Au at its relaxed geometry from the Alexandria database. Energies are from PBEsol.

Cell and atoms, written as POSCAR:
```
LiW2Au
1.0
-2.7979 0.7141 2.2790
-1.3183 -3.3888 -0.5566
4.4316 -0.1406 2.5159
W Li Au
2 1 1
Direct
0.7500 0.2500 0.5000
0.2500 0.7500 0.5000
0.0000 0.0000 0.0000
0.5000 0.5000 0.0000
```

Properties
The mass density is 16.0 Mg/m³. The volume is 59.3 Å³/f.u.

R | Here is crystalline LiW2Au at its relaxed geometry from the Alexandria database. Energies are from PBEsol.

Cell and atoms, written as POSCAR:
```
LiW2Au
1.0
-2.0229 0.4668 1.7281
-0.9449 -1.4782 -2.0539
2.0959 -7.6030 4.5075
W Au Li
2 1 1
Direct
0.5000 0.5000 0.7542
0.0000 0.0000 0.9950
0.0000 0.0000 0.4930
0.5000 0.5000 0.2578
```

Properties
The mass density is 15.1 Mg/m³. The volume is 62.8 Å³/f.u.

S | Here is crystalline LiW2Au at its relaxed geometry from the Alexandria database. Energies are from PBEsol.

Cell and atoms, written as POSCAR:
```
LiW2Au
1.0
-1.5882 -0.8149 -1.9630
0.1926 -1.8465 1.8955
-7.6225 3.8817 4.5558
Au Li W
1 1 2
Direct
0.5000 0.5000 0.5000
0.5000 0.5000 0.0000
0.0000 0.0000 0.7500
0.0000 0.0000 0.2500
```

Properties
The mass density is 14.9 Mg/m³. The volume is 63.7 Å³/f.u.

The structure with the most favorable energy is R; the runner-up is 122 meV per atom above it.

P | Here is crystalline Li2YAu at its relaxed geometry from the Alexandria database. Energies are from PBEsol.

Cell and atoms, written as POSCAR:
```
Li2YAu
1.0
-2.2693 0.7686 2.8445
-2.2020 -3.1770 -0.8982
4.3998 -3.6484 2.1185
Li Au Y
2 1 1
Direct
0.7625 0.5000 0.1515
0.1997 0.0000 0.0296
0.0613 0.5000 0.7462
0.4765 0.0000 0.5726
```

Properties
The mass density is 5.8 Mg/m³. The volume is 85.9 Å³/f.u.

Q | Here is crystalline Li2YAu at its relaxed geometry from the Alexandria database. Energies are from PBEsol.

Cell and atoms, written as POSCAR:
```
Li2YAu
1.0
-2.6089 -2.2838 -0.3566
1.9322 -2.3921 3.5381
-2.7753 2.6536 3.3097
Li Y Au
2 1 1
Direct
0.6823 0.7862 0.0000
0.3177 0.2138 0.0000
0.0000 0.5000 0.5000
0.5000 0.0000 0.5000
```

Properties
The mass density is 6.0 Mg/m³. The volume is 82.7 Å³/f.u.

R | Here is crystalline Li2YAu at its relaxed geometry from the Alexandria database. Energies are from PBEsol.

Cell and atoms, written as POSCAR:
```
Li2YAu
1.0
3.5094 0.0000 0.0000
0.0000 3.5094 0.0000
0.0000 0.0000 6.7318
Au Y Li
1 1 2
Direct
0.5000 0.5000 0.7768
0.0000 0.0000 0.5454
0.0000 0.0000 0.9913
0.5000 0.5000 0.1864
```

Properties
The mass density is 6.0 Mg/m³. The volume is 82.9 Å³/f.u.

The structure with the most favorable energy is R; the runner-up is 18 meV per atom above it.

P | Here is crystalline LiZn2Au2 at its relaxed geometry from the Alexandria database. Energies are from PBEsol.

Cell and atoms, written as POSCAR:
```
LiZn2Au2
1.0
3.6427 0.0000 0.0000
0.0000 3.6427 0.0000
-1.8214 -1.8214 6.3950
Zn Au Li
2 2 1
Direct
0.7500 0.2500 0.5000
0.2500 0.7500 0.5000
0.6031 0.6031 0.2061
0.3969 0.3969 0.7939
0.0000 0.0000 0.0000
```

Properties
The mass density is 10.4 Mg/m³. The volume is 84.9 Å³/f.u.

Q | Here is crystalline LiZn2Au2 at its relaxed geometry from the Alexandria database. Energies are from PBEsol.

Cell and atoms, written as POSCAR:
```
LiZn2Au2
1.0
-2.5903 1.1326 -0.2495
-2.3411 -6.1736 -3.7187
-2.0269 -3.1882 6.5689
Zn Au Li
4 4 2
Direct
0.5000 0.1306 0.6306
0.5000 0.3694 0.1306
0.5000 0.6306 0.8694
0.5000 0.8694 0.3694
0.0000 0.3326 0.8326
0.0000 0.8326 0.6674
0.0000 0.1674 0.3326
0.0000 0.6674 0.1674
0.0000 0.5000 0.5000
0.0000 0.0000 0.0000
```

Properties
The mass density is 10.8 Mg/m³. The volume is 81.5 Å³/f.u.

The structure with the most favorable energy is Q; the runner-up is 68 meV per atom above it.

P | Here is crystalline LiZnAu at its relaxed geometry from the Alexandria database. Energies are from PBEsol.

Cell and atoms, written as POSCAR:
```
LiZnAu
1.0
2.8324 0.0000 0.0000
0.0000 3.7818 0.0000
-1.4162 -1.8909 4.0751
Zn Au Li
1 1 1
Direct
0.6656 0.6656 0.3313
0.9990 0.9990 0.9979
0.3354 0.3354 0.6708
```

Properties
The mass density is 10.2 Mg/m³. The volume is 43.7 Å³/f.u.

Q | Here is crystalline LiZnAu at its relaxed geometry from the Alexandria database. Energies are from PBEsol.

Cell and atoms, written as POSCAR:
```
LiZnAu
1.0
-0.6138 2.4970 0.7885
-4.1810 -1.0495 0.0689
2.4123 -0.5232 3.5347
Li Au Zn
1 1 1
Direct
0.6367 0.3333 0.6667
0.9957 0.0000 0.0000
0.3677 0.6667 0.3333
```

Properties
The mass density is 10.3 Mg/m³. The volume is 43.3 Å³/f.u.

The structure with the most favorable energy is P; the runner-up is 9 meV per atom above it.

P | Here is crystalline MgOsAu3 at its relaxed geometry from the Alexandria database. Energies are from PBEsol.

Cell and atoms, written as POSCAR:
```
MgOsAu3
1.0
4.9478 0.0000 0.0000
0.0000 4.9478 0.0000
0.0000 0.0000 4.9478
Os Au Mg
1 3 1
Direct
0.0000 0.0000 0.0000
0.0000 0.0000 0.5000
0.0000 0.5000 0.0000
0.5000 0.0000 0.0000
0.5000 0.5000 0.5000
```

Properties
The mass density is 11.0 Mg/m³. The volume is 121.1 Å³/f.u.

Q | Here is crystalline MgOsAu3 at its relaxed geometry from the Alexandria database. Energies are from PBEsol.

Cell and atoms, written as POSCAR:
```
MgOsAu3
1.0
-1.7263 1.1507 4.0776
-1.3088 -4.3325 0.6685
4.0296 -0.9143 1.9639
Au Mg Os
3 1 1
Direct
0.0000 0.0000 0.5000
0.5000 0.0000 0.0000
0.0000 0.5000 0.0000
0.0000 0.0000 0.0000
0.5000 0.5000 0.5000
```

Properties
The mass density is 14.0 Mg/m³. The volume is 95.8 Å³/f.u.

The structure with the most favorable energy is P; the runner-up is 468 meV per atom above it.